DFT (PBE) results for a geometry-optimized Zr2Be3Ga structure.

a = 3.2704 Å, b = 3.9195 Å, c = 6.8260 Å
α = 90.00°, β = 90.00°, γ = 90.00°
Last column: nearest neighbours and their distance in Å.
Element x y z (fractional)
Zr  0.0000  0.0000  0.5179  8 Be 2.71-2.97, 4 Ga 2.85
Zr  0.0000  0.5000  0.9853  10 Be 2.68-2.80, 2 Ga 2.88
Be  0.5000  0.5000  0.6749  2 Be 2.24, 1 Ga 2.34
Be  0.5000  0.0000  0.8348  3 Be 2.19-2.24
Ga  0.5000  0.5000  0.3320  3 Be 2.30-2.34
Be  0.5000  0.0000  0.1550  1 Be 2.19, 2 Ga 2.30

Results
- Polymorph energy (0 for the lowest one): 0.000 eV/atom
- Mass density: 5.3 g/cm3
- Spin magnetization: 0.00 Bohr magnetons per cell
- Space group: No. 25
- Formation energy: -0.336 eV/atom